ZrBe9Ir2: relaxed, PBE.

Output
**DOS(E_F)**: 2.79 states/eV per cell
**Excess energy over the best structure of this formula in the dataset**: 4 meV/atom
**M_tot**: 0.000 μB per formula unit
**Formation enthalpy at 0 K**: -0.4041 eV/atom
**SG**: R-3m

Cell: 4.4191 4.4191 7.5023 Å, 72.87 72.87 60.00°
Element x y z (fractional)
Zr: 0.0000 0.0000 0.0000
Be: 0.6677 0.6677 0.9970
Be: 0.3323 0.3323 0.0030
Be: 0.5000 0.5000 0.5000
Be: 0.4100 0.4100 0.2618
Be: 0.9182 0.4100 0.2618
Be: 0.4100 0.9182 0.2618
Be: 0.5900 0.5900 0.7382
Be: 0.5900 0.0818 0.7382
Be: 0.0818 0.5900 0.7382
Ir: 0.8631 0.8631 0.4106
Ir: 0.1369 0.1369 0.5894



Zr2Be15Ir2: relaxed, PBE.

Output
**DOS(E_F)**: 6.01 states/eV per cell
**M_tot**: 0.000 μB per formula unit
**Formation enthalpy at 0 K**: -0.3258 eV/atom
**SG**: R-3m

Cell: 5.8811 5.8811 5.8811 Å, 82.80 82.80 82.80°
Element x y z (fractional)
Zr: 0.3487 0.3487 0.3487
Zr: 0.6513 0.6513 0.6513
Be: 0.5000 0.0000 0.0000
Be: 0.0000 0.0000 0.5000
Be: 0.0000 0.5000 0.0000
Be: 0.0000 0.7220 0.2780
Be: 0.7220 0.2780 0.0000
Be: 0.2780 0.0000 0.7220
Be: 0.2780 0.7220 0.0000
Be: 0.7220 0.0000 0.2780
Be: 0.0000 0.2780 0.7220
Be: 0.1593 0.6576 0.6576
Be: 0.6576 0.6576 0.1593
Be: 0.6576 0.1593 0.6576
Be: 0.8407 0.3424 0.3424
Be: 0.3424 0.3424 0.8407
Be: 0.3424 0.8407 0.3424
Ir: 0.1132 0.1132 0.1132
Ir: 0.8868 0.8868 0.8868



ZrBe17Ir: relaxed, PBE.

Output
**DOS(E_F)**: 2.93 states/eV per cell
**M_tot**: 0.000 μB per formula unit
**Formation enthalpy at 0 K**: -0.2031 eV/atom
**SG**: R3m

Cell: 5.5720 5.5720 5.5720 Å, 83.08 83.08 83.08°
Element x y z (fractional)
Zr: 0.3419 0.3419 0.3419
Be: 0.3003 0.9923 0.7071
Be: 0.7071 0.3003 0.9923
Be: 0.9923 0.7071 0.3003
Be: 0.3003 0.7071 0.9923
Be: 0.9923 0.3003 0.7071
Be: 0.7071 0.9923 0.3003
Be: 0.3527 0.8323 0.3527
Be: 0.3527 0.3527 0.8323
Be: 0.8323 0.3527 0.3527
Be: 0.6560 0.1348 0.6560
Be: 0.6560 0.6560 0.1348
Be: 0.1348 0.6560 0.6560
Be: 0.0109 0.4904 0.0109
Be: 0.0109 0.0109 0.4904
Be: 0.4904 0.0109 0.0109
Be: 0.8977 0.8977 0.8977
Be: 0.0954 0.0954 0.0954
Ir: 0.6690 0.6690 0.6690